[1]
VASP calculation (PBE) on LaZnAg2 after structural relaxation.

Cell lengths 4.870, 5.301, 7.360 Å; angles 90.00, 90.00, 90.00 degrees
Space group Pmc2_1 (No. 26)
Unique sites:
La 0.000 0.035 0.000 (multiplicity 2)
Zn 0.500 0.271 0.694 (multiplicity 2)
Ag 0.000 0.487 0.742 (multiplicity 2)
Ag 0.500 0.240 0.297 (multiplicity 2)

***

[2]
VASP calculation (PBE) on La2ZnAg3 after structural relaxation.

Cell lengths 10.975, 4.822, 7.255 Å; angles 90.00, 131.13, 90.00 degrees
Space group Cm (No. 8)
Unique sites:
La 0.000 0.000 0.000 (multiplicity 2)
La 0.065 0.000 0.569 (multiplicity 2)
Zn 0.202 0.500 0.411 (multiplicity 2)
Ag 0.196 0.500 0.990 (multiplicity 2)
Ag 0.357 0.000 0.570 (multiplicity 2)
Ag 0.378 0.000 0.166 (multiplicity 2)

***

[3]
VASP calculation (PBE) on LaZnAg2 after structural relaxation.

Cell lengths 7.087, 7.087, 7.087 Å; angles 90.00, 90.00, 90.00 degrees
Space group F-43m (No. 216)
Unique sites:
La 0.000 0.000 0.000 (multiplicity 4)
Zn 0.250 0.250 0.750 (multiplicity 4)
Ag 0.000 0.000 0.500 (multiplicity 4)
Ag 0.250 0.250 0.250 (multiplicity 4)

***

[4]
VASP calculation (PBE) on LaZnAg2 after structural relaxation.

Cell lengths 4.720, 5.935, 6.555 Å; angles 90.00, 90.00, 90.00 degrees
Space group Pmn2_1 (No. 31)
Unique sites:
La 0.000 0.116 0.000 (multiplicity 2)
Zn 0.000 0.636 0.230 (multiplicity 2)
Ag 0.000 0.262 0.500 (multiplicity 2)
Ag 0.000 0.631 0.770 (multiplicity 2)

***

[5]
VASP calculation (PBE) on La2Zn15Ag2 after structural relaxation.

Cell lengths 9.1566, 9.1566, 13.4009 Å; angles 90.00, 90.00, 120.00 degrees
Space group R-3m (No. 166, hexagonal axes)
Unique sites:
La 0.0000 0.0000 0.1587 (multiplicity 6)
Zn 0.0000 0.2911 0.5000 (multiplicity 18)
Zn 0.0000 0.5000 0.0000 (multiplicity 9)
Zn 0.0071 0.5035 0.6536 (multiplicity 18)
Ag 0.0000 0.0000 0.3945 (multiplicity 6)

***

[6]
VASP calculation (PBE) on LaZn2Ag2 after structural relaxation.

Cell lengths 4.340, 4.340, 11.270 Å; angles 90.00, 90.00, 90.00 degrees
Space group I4/mmm (No. 139)
Unique sites:
La 0.000 0.000 0.000 (multiplicity 2)
Zn 0.000 0.000 0.388 (multiplicity 4)
Ag 0.000 0.500 0.250 (multiplicity 4)

***

[7]
VASP calculation (PBE) on La3Zn8Ag3 after structural relaxation.

Cell lengths 4.584, 9.028, 13.689 Å; angles 90.00, 90.00, 90.00 degrees
Space group Immm (No. 71)
Unique sites:
La 0.000 0.000 0.000 (multiplicity 2)
La 0.000 0.000 0.299 (multiplicity 4)
Zn 0.000 0.281 0.137 (multiplicity 8)
Zn 0.000 0.359 0.332 (multiplicity 8)
Ag 0.000 0.208 0.500 (multiplicity 4)
Ag 0.000 0.500 0.000 (multiplicity 2)

***

[8]
VASP calculation (PBE) on LaZn2Ag3 after structural relaxation.

Cell lengths 5.7142, 5.7142, 4.3489 Å; angles 90.00, 90.00, 120.00 degrees
Space group P6/mmm (No. 191)
Unique sites:
La 0.0000 0.0000 0.0000 (multiplicity 1)
Zn 0.3333 0.6667 0.0000 (multiplicity 2)
Ag 0.0000 0.5000 0.5000 (multiplicity 3)

***

[9]
VASP calculation (PBE) on La2ZnAg3 after structural relaxation.

Cell lengths 3.665, 4.801, 8.342 Å; angles 90.00, 90.00, 90.00 degrees
Space group Pmm2 (No. 25)
Unique sites:
La 0.000 0.000 0.000 (multiplicity 1)
La 0.000 0.500 0.495 (multiplicity 1)
Zn 0.500 0.000 0.327 (multiplicity 1)
Ag 0.500 0.000 0.654 (multiplicity 1)
Ag 0.500 0.500 0.173 (multiplicity 1)
Ag 0.500 0.500 0.833 (multiplicity 1)

***

[10]
VASP calculation (PBE) on LaZnAg after structural relaxation.

Cell lengths 7.090, 7.090, 7.090 Å; angles 90.00, 90.00, 90.00 degrees
Space group F-43m (No. 216)
Unique sites:
La 0.000 0.000 0.000 (multiplicity 4)
Zn 0.250 0.250 0.250 (multiplicity 4)
Ag 0.250 0.250 0.750 (multiplicity 4)

***

[11]
VASP calculation (PBE) on LaZrAg after structural relaxation.

Cell lengths 7.050, 7.050, 7.050 Å; angles 90.00, 90.00, 90.00 degrees
Space group F-43m (No. 216)
Unique sites:
La 0.000 0.000 0.000 (multiplicity 4)
Zr 0.000 0.000 0.500 (multiplicity 4)
Ag 0.250 0.250 0.250 (multiplicity 4)

Computed properties:
Its energy above the most stable polymorph in this dataset is 0 meV/atom.

***

[12]
VASP calculation (PBE) on LaZrAg after structural relaxation.

Cell lengths 6.917, 6.917, 6.917 Å; angles 90.00, 90.00, 90.00 degrees
Space group F-43m (No. 216)
Unique sites:
La 0.000 0.000 0.000 (multiplicity 4)
Zr 0.250 0.250 0.250 (multiplicity 4)
Ag 0.250 0.250 0.750 (multiplicity 4)

Computed properties:
Its energy above the most stable polymorph in this dataset is 479 meV/atom.

***

[13]
VASP calculation (PBE) on Li4Ag after structural relaxation.

Cell lengths 4.338, 5.533, 13.522 Å; angles 90.00, 90.00, 90.00 degrees
Space group Imma (No. 74)
Unique sites:
Li 0.000 0.000 0.000 (multiplicity 4)
Li 0.000 0.012 0.199 (multiplicity 8)
Li 0.000 0.250 0.598 (multiplicity 4)
Ag 0.000 0.250 0.392 (multiplicity 4)

***

[14]
VASP calculation (PBE) on Li2Ag after structural relaxation.

Cell lengths 11.258, 11.258, 11.258 Å; angles 90.00, 90.00, 90.00 degrees
Space group Fd-3m (No. 227, origin choice 2)
Unique sites:
Li 0.000 0.000 0.000 (multiplicity 16)
Ag 0.125 0.125 0.125 (multiplicity 8)

***

[15]
VASP calculation (PBE) on Li54Ag17 after structural relaxation.

Cell lengths 13.320, 13.372, 13.857 Å; angles 90.00, 90.00, 90.00 degrees
Space group Immm (No. 71)
Unique sites:
Li 0.000 0.000 0.151 (multiplicity 4)
Li 0.000 0.177 0.397 (multiplicity 8)
Li 0.000 0.310 0.097 (multiplicity 8)
Li 0.000 0.386 0.500 (multiplicity 4)
Li 0.099 0.500 0.331 (multiplicity 8)
Li 0.110 0.000 0.334 (multiplicity 8)
Li 0.119 0.500 0.000 (multiplicity 4)
Li 0.121 0.181 0.212 (multiplicity 16)
Li 0.122 0.103 0.000 (multiplicity 8)
Li 0.173 0.107 0.500 (multiplicity 8)
Li 0.185 0.312 0.392 (multiplicity 16)
Li 0.191 0.388 0.178 (multiplicity 16)
Ag 0.000 0.000 0.500 (multiplicity 2)
Ag 0.000 0.331 0.288 (multiplicity 8)
Ag 0.000 0.500 0.161 (multiplicity 4)
Ag 0.170 0.290 0.000 (multiplicity 8)
Ag 0.183 0.500 0.500 (multiplicity 4)
Ag 0.203 0.000 0.169 (multiplicity 8)

***

[16]
VASP calculation (PBE) on Li8Ag3 after structural relaxation.

Cell lengths 7.655, 4.411, 10.439 Å; angles 90.00, 104.37, 90.00 degrees
Space group C2/m (No. 12)
Unique sites:
Li 0.089 0.000 0.268 (multiplicity 4)
Li 0.137 0.500 0.911 (multiplicity 4)
Li 0.180 0.000 0.541 (multiplicity 4)
Li 0.228 0.500 0.184 (multiplicity 4)
Ag 0.000 0.000 0.000 (multiplicity 2)
Ag 0.047 0.500 0.641 (multiplicity 4)

***

[17]
VASP calculation (PBE) on LiLuAg2 after structural relaxation.

Cell lengths 6.753, 6.753, 6.753 Å; angles 90.00, 90.00, 90.00 degrees
Space group F-43m (No. 216)
Unique sites:
Li 0.000 0.000 0.000 (multiplicity 4)
Lu 0.250 0.250 0.250 (multiplicity 4)
Ag 0.000 0.000 0.500 (multiplicity 4)
Ag 0.250 0.250 0.750 (multiplicity 4)

***

[18]
VASP calculation (PBE) on Li2MgAg3 after structural relaxation.

Cell lengths 5.1527, 5.1527, 4.4979 Å; angles 90.00, 90.00, 120.00 degrees
Space group P-62m (No. 189)
Unique sites:
Li 0.3333 0.6667 0.0000 (multiplicity 2)
Mg 0.0000 0.0000 0.0000 (multiplicity 1)
Ag 0.0000 0.3405 0.5000 (multiplicity 3)

***

[19]
VASP calculation (PBE) on Li6MgAg after structural relaxation.

Cell lengths 4.544, 4.544, 6.457 Å; angles 90.00, 90.00, 90.00 degrees
Space group P4/mmm (No. 123)
Unique sites:
Li 0.000 0.000 0.000 (multiplicity 1)
Li 0.000 0.500 0.233 (multiplicity 4)
Li 0.500 0.500 0.500 (multiplicity 1)
Mg 0.000 0.000 0.500 (multiplicity 1)
Ag 0.500 0.500 0.000 (multiplicity 1)

***

[20]
VASP calculation (PBE) on LiMg2Ag5 after structural relaxation.

Cell lengths 4.519, 4.519, 6.913 Å; angles 90.00, 90.00, 90.00 degrees
Space group P4/mmm (No. 123)
Unique sites:
Li 0.000 0.000 0.000 (multiplicity 1)
Mg 0.000 0.000 0.500 (multiplicity 1)
Mg 0.500 0.500 0.000 (multiplicity 1)
Ag 0.000 0.500 0.238 (multiplicity 4)
Ag 0.500 0.500 0.500 (multiplicity 1)

***

Calculated values (eV per atom) of VASP energy for the records, taken in order: -3.119, -3.597, -3.178, -3.202, -2.075, -2.878, -2.710, -2.890, -3.595, -2.856, -5.038, -4.559, -2.201, -1.612, -2.261, -2.312, -3.171, -2.467, -2.046, -2.587.